No. 1
Density functional theory data (GGA-PBE) for a geometry-optimized TbErTh2 structure.

The space group is R-3m (No. 166, hexagonal axes) and the conventional cell measures 3.5672, 3.5672 and 34.4181 Å, with angles of 90.00, 90.00 and 120.00 degrees. The inequivalent atoms are Tb at (0.0000, 0.0000, 0.0000), Er at (0.0000, 0.0000, 0.5000) and Th at (0.0000, 0.0000, 0.2496).

The total magnetization is 0.000 Bohr magnetons per cell. Its total DFT energy (no corrections) is -71.7 eV/cell. The value obtained for the calculated density is 10.4 g/cm3. As for the offset from the most stable computed form: 0.00 eV/f.u. As for the formation energy: 0.0318 eV per atom.



No. 2
Density functional theory data (GGA-PBE) for a geometry-optimized PrY7Er3 structure.

The space group is P2/m (No. 10) and the conventional cell measures 6.926, 5.568 and 9.955 Å, with angles of 90.00, 109.06 and 90.00 degrees. The inequivalent atoms are Pr at (0.000, 0.000, 0.000), Y at (0.000, 0.000, 0.500), Y at (0.148, 0.500, 0.788), Y at (0.325, 0.500, 0.141), Y at (0.427, 0.000, 0.332), Er at (0.276, 0.500, 0.495) and Er at (0.500, 0.000, 0.000).

The total magnetization is 0.000 Bohr magnetons per cell. Its total DFT energy (no corrections) is -62.1 eV/cell. The value obtained for the calculated density is 5.8 g/cm3. As for the offset from the most stable computed form: 0.00 eV/f.u. As for the formation energy: 0.1433 eV per atom.



No. 3
Density functional theory data (GGA-PBE) for a geometry-optimized PmPrRhAu structure.

The space group is Amm2 (No. 38) and the conventional cell measures 4.633, 3.965 and 10.795 Å, with angles of 90.00, 90.00 and 90.00 degrees. The inequivalent atoms are Pm at (0.000, 0.000, 0.000), Pr at (0.500, 0.000, 0.720), Rh at (0.500, 0.000, 0.456) and Au at (0.000, 0.000, 0.283).

The total magnetization is 0.000 Bohr magnetons per cell. Its total DFT energy (no corrections) is -46.3 eV/cell. The value obtained for the calculated density is 9.8 g/cm3. As for the offset from the most stable computed form: 0.00 eV/f.u. As for the formation energy: -0.7539 eV per atom.



No. 4
Density functional theory data (GGA-PBE) for a geometry-optimized Ti2TlTe2 structure.

The space group is P4/mbm (No. 127) and the conventional cell measures 7.835, 7.835 and 3.615 Å, with angles of 90.00, 90.00 and 90.00 degrees. The inequivalent atoms are Ti at (0.138, 0.362, 0.000), Tl at (0.000, 0.000, 0.000) and Te at (0.150, 0.650, 0.500).

As for the formation energy (no corrections): -0.32 eV per atom. The total magnetization is 0.000 Bohr magnetons per cell. Its total DFT energy (no corrections) is -52.1 eV/cell. The value obtained for the calculated density is 8.3 g/cm3. As for the offset from the most stable computed form: 0.28 eV/f.u.



No. 5
Density functional theory data (GGA-PBE) for a geometry-optimized Rb2InBiBr6 structure.

The space group is R3 (No. 146, hexagonal axes) and the conventional cell measures 8.3173, 8.3173 and 20.9332 Å, with angles of 90.00, 90.00 and 120.00 degrees. The inequivalent atoms are Rb at (0.0000, 0.0000, 0.0000), Rb at (0.0000, 0.0000, 0.4942), In at (0.0000, 0.0000, 0.2171), Bi at (0.0000, 0.0000, 0.7124), Br at (0.0123, 0.4196, 0.4547) and Br at (0.0907, 0.7280, 0.2950).

As for the formation energy (no corrections): -1.16 eV per atom. The total magnetization is 0.000 Bohr magnetons per cell. Its total DFT energy (no corrections) is -90.6 eV/cell. The value obtained for the calculated density is 3.9 g/cm3.



No. 6
Density functional theory data (GGA-PBE) for a geometry-optimized Y2PaFe9 structure.

The space group is R-3m (No. 166, hexagonal axes) and the conventional cell measures 5.0373, 5.0373 and 24.7763 Å, with angles of 90.00, 90.00 and 120.00 degrees. The inequivalent atoms are Y at (0.0000, 0.0000, 0.1418), Pa at (0.0000, 0.0000, 0.0000), Fe at (0.0000, 0.0000, 0.3324), Fe at (0.0000, 0.0000, 0.5000) and Fe at (0.0011, 0.5005, 0.0818).

The total magnetization is 48.661 Bohr magnetons per cell. Its total DFT energy (no corrections) is -298.1 eV/cell. The value obtained for the calculated density is 8.3 g/cm3. As for the formation energy: -0.0650 eV per atom.



No. 7
Density functional theory data (GGA-PBE) for a geometry-optimized RbAs2PBr structure.

The space group is P4/mmm (No. 123) and the conventional cell measures 4.700, 4.700 and 8.532 Å, with angles of 90.00, 90.00 and 90.00 degrees. The inequivalent atoms are Rb at (0.000, 0.000, 0.000), As at (0.000, 0.500, 0.500), P at (0.500, 0.500, 0.500) and Br at (0.500, 0.500, 0.000).

As for the formation energy (no corrections): -0.03 eV per atom. The total magnetization is 0.000 Bohr magnetons per cell. Its total DFT energy (no corrections) is -17.5 eV/cell. The value obtained for the calculated density is 3.1 g/cm3. As for the offset from the most stable computed form: 0.00 eV/f.u.



No. 8
Density functional theory data (GGA-PBE) for a geometry-optimized CeZn2SiPd4 structure.

The space group is R-3m (No. 166, hexagonal axes) and the conventional cell measures 4.3207, 4.3207 and 25.4673 Å, with angles of 90.00, 90.00 and 120.00 degrees. The inequivalent atoms are Ce at (0.0000, 0.0000, 0.0000), Zn at (0.0000, 0.0000, 0.2445), Si at (0.0000, 0.0000, 0.5000), Pd at (0.0000, 0.0000, 0.1365) and Pd at (0.0000, 0.0000, 0.4039).

As for the formation energy (no corrections): -0.57 eV per atom. The total magnetization is 2.142 Bohr magnetons per cell. Its total DFT energy (no corrections) is -117.7 eV/cell. The value obtained for the calculated density is 8.8 g/cm3.



No. 9
Density functional theory data (GGA-PBE) for a geometry-optimized HOsBrF structure.

The space group is Cm (No. 8) and the conventional cell measures 12.380, 3.172 and 3.109 Å, with angles of 90.00, 90.79 and 90.00 degrees. The inequivalent atoms are H at (0.000, 0.000, 0.000), Os at (0.015, 0.500, 0.237), Br at (0.166, 0.500, 0.743) and F at (0.359, 0.000, 0.255).

The total magnetization is 0.000 Bohr magnetons per cell. Its total DFT energy (no corrections) is -37.4 eV/cell. The value obtained for the calculated density is 7.9 g/cm3. As for the offset from the most stable computed form: 0.05 eV/f.u.



No. 10
Density functional theory data (GGA-PBE) for a geometry-optimized Ho5Sb4P structure.

The space group is I4/mmm (No. 139) and the conventional cell measures 4.304, 4.304 and 30.331 Å, with angles of 90.00, 90.00 and 90.00 degrees. The inequivalent atoms are Ho at (0.000, 0.000, 0.000), Ho at (0.000, 0.000, 0.201), Ho at (0.000, 0.000, 0.408), Sb at (0.000, 0.000, 0.099), Sb at (0.000, 0.000, 0.303) and P at (0.000, 0.000, 0.500).

As for the formation energy (no corrections): -1.17 eV per atom. The total magnetization is 0.000 Bohr magnetons per cell. Its total DFT energy (no corrections) is -113.0 eV/cell. The value obtained for the calculated density is 7.9 g/cm3. As for the offset from the most stable computed form: 0.06 eV/f.u.



No. 11
Density functional theory data (GGA-PBE) for a geometry-optimized K2CaBr structure.

The space group is Cmmm (No. 65) and the conventional cell measures 7.179, 11.890 and 4.329 Å, with angles of 90.00, 90.00 and 90.00 degrees. The inequivalent atoms are K at (0.250, 0.250, 0.000), Ca at (0.000, 0.000, 0.500) and Br at (0.000, 0.500, 0.500).

As for the formation energy (no corrections): -0.45 eV per atom. The total magnetization is 0.000 Bohr magnetons per cell. Its total DFT energy (no corrections) is -15.3 eV/cell. The value obtained for the calculated density is 1.8 g/cm3. As for the offset from the most stable computed form: 1.13 eV/f.u.



No. 12
Density functional theory data (GGA-PBE) for a geometry-optimized Ac3Cd4Cu2 structure.

The space group is C2/m (No. 12) and the conventional cell measures 11.734, 4.869 and 9.514 Å, with angles of 90.00, 113.35 and 90.00 degrees. The inequivalent atoms are Ac at (0.000, 0.000, 0.000), Ac at (0.176, 0.500, 0.647), Cd at (0.034, 0.000, 0.364), Cd at (0.228, 0.500, 0.073) and Cu at (0.100, 0.500, 0.269).

The total magnetization is 0.000 Bohr magnetons per cell. Its total DFT energy (no corrections) is -52.6 eV/cell. The value obtained for the calculated density is 8.4 g/cm3. As for the formation energy: -0.2331 eV per atom.



Question: Among the records above, which one has the lowest total DFT energy (no corrections)?
Answer: Y2PaFe9